# Cu5P3O13, optimized geometry, DFT GGA-PBE
data_Cu5P3O13
_chemical_formula_sum 'Cu10 P6 O26'
_symmetry_space_group_name_H-M 'P 1'
_symmetry_Int_Tables_number 1
_symmetry_space_group_name_Hall 'P 1'
_cell_length_a 6.215
_cell_length_b 8.173
_cell_length_c 10.091
_cell_angle_alpha 90.05
_cell_angle_beta 90.04
_cell_angle_gamma 90.02
loop_
_atom_site_label
_atom_site_type_symbol
_atom_site_fract_x
_atom_site_fract_y
_atom_site_fract_z
Cu1 Cu 0.002 0.148 0.282
Cu2 Cu 0.247 0.852 0.428
Cu3 Cu 0.250 0.775 0.045
Cu4 Cu 0.251 0.559 0.625
Cu5 Cu 0.495 0.148 0.283
Cu6 Cu 0.505 0.852 0.717
Cu7 Cu 0.749 0.441 0.375
Cu8 Cu 0.750 0.225 0.955
Cu9 Cu 0.753 0.148 0.572
Cu10 Cu 0.998 0.852 0.718
P1 P 0.249 0.500 0.280
P2 P 0.250 0.142 0.010
P3 P 0.251 0.148 0.616
P4 P 0.749 0.852 0.384
P5 P 0.750 0.858 0.990
P6 P 0.751 0.500 0.720
O1 O 0.043 0.085 0.688
O2 O 0.045 0.386 0.296
O3 O 0.054 0.245 0.971
O4 O 0.248 0.619 0.400
O5 O 0.249 0.084 0.469
O6 O 0.249 0.111 0.167
O7 O 0.250 0.969 0.944
O8 O 0.251 0.332 0.614
O9 O 0.251 0.579 0.145
O10 O 0.251 0.796 0.622
O11 O 0.446 0.245 0.971
O12 O 0.453 0.386 0.298
O13 O 0.458 0.084 0.688
O14 O 0.542 0.916 0.312
O15 O 0.547 0.614 0.702
O16 O 0.554 0.755 0.029
O17 O 0.749 0.204 0.378
O18 O 0.749 0.421 0.855
O19 O 0.749 0.668 0.386
O20 O 0.750 0.031 0.056
O21 O 0.751 0.889 0.833
O22 O 0.751 0.916 0.531
O23 O 0.752 0.381 0.600
O24 O 0.946 0.755 0.029
O25 O 0.955 0.614 0.704
O26 O 0.957 0.915 0.312
# Formation energy without anion corrections (meV per atom): -1343
# Total magnetic moment (μB per formula unit): 0.5